# PBE Na2In4Pb5, relaxed
# Fermi-level density of states	4.518	states/eV/f.u.
# theoretical density	7.58	Mg/m³
# total energy	-2.928	eV per atom
data_Na2In4Pb5
_chemical_formula_sum 'Na4 In8 Pb10'
_space_group_name_H-M_alt 'C 1 2/m 1'
_space_group_IT_number 12
_cell_length_a 11.9126
_cell_length_b 6.8641
_cell_length_c 10.1424
_cell_angle_alpha 90.00
_cell_angle_beta 125.48
_cell_angle_gamma 90.00
loop_
_space_group_symop_operation_xyz
'x,y,z'
'-x,-y,-z'
'-x,y,-z'
'x,-y,z'
'x+1/2,y+1/2,z'
'-x+1/2,-y+1/2,-z'
'-x+1/2,y+1/2,-z'
'x+1/2,-y+1/2,z'
loop_
_atom_site_label
_atom_site_type_symbol
_atom_site_fract_x
_atom_site_fract_y
_atom_site_fract_z
Na1 Na 0.2256 0.0000 0.2992
In1 In 0.2241 0.0000 0.9859
In2 In 0.2259 0.0000 0.6452
Pb1 Pb 0.0000 0.5000 0.0000
Pb2 Pb 0.0015 0.2622 0.3253